A relaxed structure of BMoOs2, computed with PBE-GGA.

Cell and atoms, written as POSCAR:
```
BMoOs2
1.0
-0.889 -4.855 -1.184
2.879 -1.480 3.909
-3.260 -3.154 4.500
Mo B Os
2 2 4
direct
0.000 0.000 0.000 Mo
0.750 0.250 0.500 Mo
0.500 0.500 0.000 B
0.250 0.750 0.500 B
0.551 0.125 0.250 Os
0.199 0.625 0.250 Os
0.375 0.449 0.750 Os
0.875 0.801 0.750 Os
```

Energy of formation (eV/atom): 0.8612
SG: I-42d, No. 122

---

A relaxed structure of B2MoOs2, computed with PBE-GGA.

Cell and atoms, written as POSCAR:
```
B2MoOs2
1.0
6.348 0.000 0.000
0.000 6.348 0.000
0.000 0.000 2.793
Mo B Os
2 4 4
direct
0.000 0.000 0.000 Mo
0.500 0.500 0.000 Mo
0.351 0.851 0.000 B
0.851 0.649 0.000 B
0.649 0.149 0.000 B
0.149 0.351 0.000 B
0.149 0.649 0.500 Os
0.649 0.851 0.500 Os
0.851 0.351 0.500 Os
0.351 0.149 0.500 Os
```

Energy of formation (eV/atom): 0.0400
SG: P4/mbm, No. 127

---

A relaxed structure of B2Mo4Os, computed with PBE-GGA.

Cell and atoms, written as POSCAR:
```
B2Mo4Os
1.0
-0.762 3.899 1.402
-0.722 0.661 4.097
5.748 2.395 2.792
B Mo Os
2 4 1
direct
0.110 0.110 0.671 B
0.890 0.890 0.329 B
0.387 0.387 0.840 Mo
0.222 0.222 0.335 Mo
0.778 0.778 0.665 Mo
0.613 0.613 0.160 Mo
0.000 0.000 0.000 Os
```

Energy of formation (eV/atom): 0.3908
SG: R-3m, No. 166

---

A relaxed structure of B2MoPOs, computed with PBE-GGA.

Cell and atoms, written as POSCAR:
```
B2MoPOs
1.0
-3.313 -1.768 0.008
2.248 -4.216 -0.466
0.179 -0.318 3.738
P Mo B Os
1 1 2 1
direct
0.000 0.000 0.000 P
0.000 0.500 0.000 Mo
0.000 0.000 0.500 B
0.500 0.000 0.000 B
0.500 0.500 0.500 Os
```

Energy of formation (eV/atom): 1.5524
SG: P4/mmm, No. 123

---

Sequential density of states at the Fermi level output: 0.308, 0.555, 0.995, 0.730 states/eV per atom
Sequential volume output: 136, 113, 98, 68 Å³ per cell